[1]
# BaTiCl2

A relaxed structure of BaTiCl2 (PBE, Alexandria).

Cell and atoms, written as CIF:
```
data_BaTiCl2
_space_group_name_H-M_alt 'P 1'
_space_group_IT_number 1
_space_group_name_Hall 'P 1'
_cell_length_a 8.484
_cell_length_b 8.484
_cell_length_c 8.484
_cell_angle_alpha 140.13
_cell_angle_beta 140.13
_cell_angle_gamma 57.65
loop_
_atom_site_label
_atom_site_type_symbol
_atom_site_fract_x
_atom_site_fract_y
_atom_site_fract_z
Ba1 Ba 0.000 0.000 0.000
Ba2 Ba 0.750 0.250 0.500
Ti1 Ti 0.250 0.750 0.500
Ti2 Ti 0.500 0.500 0.000
Cl1 Cl 0.222 0.625 0.097
Cl2 Cl 0.375 0.472 0.597
Cl3 Cl 0.528 0.125 0.903
Cl4 Cl 0.875 0.778 0.403
```

## Properties
Density in g/cm³: 3.42
Symmetry: No. 122
ΔE to the lowest computed polymorph in eV/atom: 0.000
Formation energy from raw total energies in eV/atom: -0.928
Spin magnetization in Bohr magnetons per cell: 7.23

---

[2]
# In3Hg5I4

A relaxed structure of In3Hg5I4 (PBE, Alexandria).

Cell and atoms, written as CIF:
```
data_In3Hg5I4
_space_group_name_H-M_alt 'P 1'
_space_group_IT_number 1
_space_group_name_Hall 'P 1'
_cell_length_a 9.599
_cell_length_b 9.599
_cell_length_c 11.633
_cell_angle_alpha 121.78
_cell_angle_beta 121.78
_cell_angle_gamma 33.47
loop_
_atom_site_label
_atom_site_type_symbol
_atom_site_fract_x
_atom_site_fract_y
_atom_site_fract_z
In1 In 0.000 0.000 0.000
In2 In 0.349 0.349 0.172
In3 In 0.651 0.651 0.828
Hg1 Hg 0.252 0.252 0.513
Hg2 Hg 0.409 0.409 0.480
Hg3 Hg 0.500 0.500 0.000
Hg4 Hg 0.591 0.591 0.520
Hg5 Hg 0.748 0.748 0.487
I1 I 0.001 0.001 0.729
I2 I 0.273 0.273 0.834
I3 I 0.727 0.727 0.166
I4 I 0.999 0.999 0.271
```

## Properties
Density in g/cm³: 6.24
Symmetry: No. 12
Formation energy from raw total energies in eV/atom: -0.196
Spin magnetization in Bohr magnetons per cell: 0.00

---

[3]
# ScTlBr2

A relaxed structure of ScTlBr2 (PBE, Alexandria).

Cell and atoms, written as CIF:
```
data_ScTlBr2
_space_group_name_H-M_alt 'P 1'
_space_group_IT_number 1
_space_group_name_Hall 'P 1'
_cell_length_a 5.549
_cell_length_b 5.549
_cell_length_c 3.605
_cell_angle_alpha 90.00
_cell_angle_beta 90.00
_cell_angle_gamma 102.91
loop_
_atom_site_label
_atom_site_type_symbol
_atom_site_fract_x
_atom_site_fract_y
_atom_site_fract_z
Sc1 Sc 0.000 0.000 0.000
Tl1 Tl 0.500 0.500 0.000
Br1 Br 0.000 0.500 0.500
Br2 Br 0.500 0.000 0.500
```

## Properties
Density in g/cm³: 6.28
Symmetry: No. 65
ΔE to the lowest computed polymorph in eV/atom: 0.541
Formation energy from raw total energies in eV/atom: -0.495
Spin magnetization in Bohr magnetons per cell: 0.00

---

[4]
# Re2AgSe

A relaxed structure of Re2AgSe (PBE, Alexandria).

Cell and atoms, written as CIF:
```
data_Re2AgSe
_space_group_name_H-M_alt 'P 1'
_space_group_IT_number 1
_space_group_name_Hall 'P 1'
_cell_length_a 5.280
_cell_length_b 5.280
_cell_length_c 4.975
_cell_angle_alpha 108.59
_cell_angle_beta 108.59
_cell_angle_gamma 32.17
loop_
_atom_site_label
_atom_site_type_symbol
_atom_site_fract_x
_atom_site_fract_y
_atom_site_fract_z
Re1 Re 0.000 0.000 0.000
Re2 Re 0.721 0.721 0.110
Ag1 Ag 0.488 0.488 0.476
Se1 Se 0.277 0.277 0.759
```

## Properties
Density in g/cm³: 13.33
Symmetry: No. 8
Formation energy from raw total energies in eV/atom: 0.687
Spin magnetization in Bohr magnetons per cell: 0.00

---

[5]
# K2InAgBr6

A relaxed structure of K2InAgBr6 (PBE, Alexandria).

Cell and atoms, written as CIF:
```
data_K2InAgBr6
_space_group_name_H-M_alt 'P 1'
_space_group_IT_number 1
_space_group_name_Hall 'P 1'
_cell_length_a 7.580
_cell_length_b 7.878
_cell_length_c 13.139
_cell_angle_alpha 90.00
_cell_angle_beta 124.98
_cell_angle_gamma 90.00
loop_
_atom_site_label
_atom_site_type_symbol
_atom_site_fract_x
_atom_site_fract_y
_atom_site_fract_z
K1 K 0.226 0.075 0.250
K2 K 0.226 0.425 0.750
K3 K 0.774 0.575 0.250
K4 K 0.774 0.925 0.750
In1 In 0.500 0.000 0.000
In2 In 0.500 0.500 0.500
Ag1 Ag 0.000 0.000 0.500
Ag2 Ag 0.000 0.500 0.000
Br1 Br 0.161 0.191 0.954
Br2 Br 0.161 0.309 0.454
Br3 Br 0.267 0.709 0.956
Br4 Br 0.267 0.791 0.456
Br5 Br 0.348 0.016 0.754
Br6 Br 0.348 0.484 0.254
Br7 Br 0.652 0.516 0.746
Br8 Br 0.652 0.984 0.246
Br9 Br 0.733 0.209 0.544
Br10 Br 0.733 0.291 0.044
Br11 Br 0.839 0.691 0.546
Br12 Br 0.839 0.809 0.046
```

## Properties
Density in g/cm³: 4.03
Symmetry: No. 14
ΔE to the lowest computed polymorph in eV/atom: 0.000
Formation energy from raw total energies in eV/atom: -1.101
Spin magnetization in Bohr magnetons per cell: 0.00

---

[6]
# HfCdIrF2

A relaxed structure of HfCdIrF2 (PBE, Alexandria).

Cell and atoms, written as CIF:
```
data_HfCdIrF2
_space_group_name_H-M_alt 'P 1'
_space_group_IT_number 1
_space_group_name_Hall 'P 1'
_cell_length_a 4.176
_cell_length_b 4.176
_cell_length_c 5.436
_cell_angle_alpha 90.00
_cell_angle_beta 90.00
_cell_angle_gamma 90.00
loop_
_atom_site_label
_atom_site_type_symbol
_atom_site_fract_x
_atom_site_fract_y
_atom_site_fract_z
Hf1 Hf 0.000 0.000 0.000
Cd1 Cd 0.500 0.500 0.000
Ir1 Ir 0.500 0.500 0.500
F1 F 0.000 0.500 0.500
F2 F 0.500 0.000 0.500
```

## Properties
Density in g/cm³: 9.13
Symmetry: No. 123
Formation energy from raw total energies in eV/atom: 0.140
Spin magnetization in Bohr magnetons per cell: 0.66

---

Which formula does entry 1 have?
BaTiCl2

---

Among the records above, which one has the highest density?
Re2AgSe

---

The highest density belongs to which entry?
Re2AgSe